! Er6Sc12In PBE optimized geometry; values from VASP
&SYSTEM
  ibrav = 0, nat = 19, ntyp = 3
/
ATOMIC_SPECIES
Er 167.26 Er.upf
Sc 44.96 Sc.upf
In 114.82 In.upf
CELL_PARAMETERS angstrom
5.825 3.363 4.331
-5.825 3.363 4.331
0.000 -6.726 4.331
ATOMIC_POSITIONS angstrom
Er -3.187 0.719 5.898
Er -2.217 -2.400 7.096
Er 0.971 -3.120 5.898
Er -0.971 3.120 7.096
Er 2.217 2.400 5.898
Er 3.187 -0.719 7.096
Sc -5.437 -1.448 7.413
Sc -1.464 -5.433 5.581
Sc -1.335 -1.327 4.040
Sc -3.973 3.985 5.581
Sc -0.482 1.820 4.040
Sc 1.817 -0.492 4.040
Sc -1.817 0.492 8.954
Sc 0.482 -1.820 8.954
Sc 3.973 -3.985 7.413
Sc 1.335 1.327 8.954
Sc 1.464 5.433 7.413
Sc 5.437 1.448 5.581
In 0.000 0.000 6.497
! calculated density	5.407	g cm⁻³
! size of the total moment	0.02	μB/f.u.
! electronic total energy	-104.266	eV for the cell shown
! ΔH_f (0 K)	0.096	eV/atom
! symmetry	No. 148
! Fermi-level density of states	37.74	states/eV/f.u.